No. 1
A relaxed structure of Zn2AsI. Source: the Alexandria database, functional GGA-PBE.

Structure (CIF):
```
data_Zn2AsI
_chemical_formula_sum 'Zn6 As3 I3'
_symmetry_space_group_name_H-M 'R -3 m'
_symmetry_Int_Tables_number 166
_symmetry_space_group_name_Hall '-R 3 2"'
_cell_length_a 4.0818
_cell_length_b 4.0818
_cell_length_c 22.2850
_cell_angle_alpha 90.00
_cell_angle_beta 90.00
_cell_angle_gamma 120.00
loop_
_atom_site_label
_atom_site_type_symbol
_atom_site_fract_x
_atom_site_fract_y
_atom_site_fract_z
Zn1 Zn 0.0000 0.0000 0.1182
As1 As 0.0000 0.0000 0.5000
I1 I 0.0000 0.0000 0.0000
```

Results
- N(E_F) (states/eV/f.u.) = 0.6
- raw total energy (eV per atom) = -2.327
- total magnetization (μB/cell) = 0.00
- relative energy among the computed polymorphs (meV per atom) = 180



No. 2
A relaxed structure of ZnAs3I. Source: the Alexandria database, functional GGA-PBE.

Structure (CIF):
```
data_ZnAs3I
_chemical_formula_sum 'Zn1 As3 I1'
_symmetry_space_group_name_H-M 'P m -3 m'
_symmetry_Int_Tables_number 221
_symmetry_space_group_name_Hall '-P 4 2 3'
_cell_length_a 4.948
_cell_length_b 4.948
_cell_length_c 4.948
_cell_angle_alpha 90.00
_cell_angle_beta 90.00
_cell_angle_gamma 90.00
loop_
_atom_site_label
_atom_site_type_symbol
_atom_site_fract_x
_atom_site_fract_y
_atom_site_fract_z
Zn1 Zn 0.000 0.000 0.000
As1 As 0.000 0.000 0.500
I1 I 0.500 0.500 0.500
```

Results
- N(E_F) (states/eV/f.u.) = 5.3
- raw total energy (eV per atom) = -2.621
- total magnetization (μB/cell) = 0.00
- relative energy among the computed polymorphs (meV per atom) = 0



No. 3
A relaxed structure of ZnAs2I. Source: the Alexandria database, functional GGA-PBE.

Structure (CIF):
```
data_ZnAs2I
_chemical_formula_sum 'Zn4 As8 I4'
_symmetry_space_group_name_H-M 'F m -3 m'
_symmetry_Int_Tables_number 225
_symmetry_space_group_name_Hall '-F 4 2 3'
_cell_length_a 7.111
_cell_length_b 7.111
_cell_length_c 7.111
_cell_angle_alpha 90.00
_cell_angle_beta 90.00
_cell_angle_gamma 90.00
loop_
_atom_site_label
_atom_site_type_symbol
_atom_site_fract_x
_atom_site_fract_y
_atom_site_fract_z
Zn1 Zn 0.000 0.000 0.000
As1 As 0.250 0.250 0.250
I1 I 0.000 0.000 0.500
```

Results
- N(E_F) (states/eV/f.u.) = 3.0
- raw total energy (eV per atom) = -2.352
- total magnetization (μB/cell) = 0.00
- relative energy among the computed polymorphs (meV per atom) = 245



No. 4
A relaxed structure of ZnAsI. Source: the Alexandria database, functional GGA-PBE.

Structure (CIF):
```
data_ZnAsI
_chemical_formula_sum 'Zn4 As4 I4'
_symmetry_space_group_name_H-M 'P 1 21/c 1'
_symmetry_Int_Tables_number 14
_symmetry_space_group_name_Hall '-P 2ybc'
_cell_length_a 9.140
_cell_length_b 7.476
_cell_length_c 7.929
_cell_angle_alpha 90.00
_cell_angle_beta 109.95
_cell_angle_gamma 90.00
loop_
_atom_site_label
_atom_site_type_symbol
_atom_site_fract_x
_atom_site_fract_y
_atom_site_fract_z
Zn1 Zn 0.162 0.250 0.314
As1 As 0.000 0.000 0.142
I1 I 0.339 0.126 0.634
```

Results
- raw total energy (eV per atom) = -2.715
- total magnetization (μB/cell) = 0.00
- relative energy among the computed polymorphs (meV per atom) = 76



No. 5
A relaxed structure of Zn2AsI. Source: the Alexandria database, functional GGA-PBE.

Structure (CIF):
```
data_Zn2AsI
_chemical_formula_sum 'Zn8 As4 I4'
_symmetry_space_group_name_H-M 'F m -3 m'
_symmetry_Int_Tables_number 225
_symmetry_space_group_name_Hall '-F 4 2 3'
_cell_length_a 7.048
_cell_length_b 7.048
_cell_length_c 7.048
_cell_angle_alpha 90.00
_cell_angle_beta 90.00
_cell_angle_gamma 90.00
loop_
_atom_site_label
_atom_site_type_symbol
_atom_site_fract_x
_atom_site_fract_y
_atom_site_fract_z
Zn1 Zn 0.250 0.250 0.250
As1 As 0.000 0.000 0.000
I1 I 0.000 0.000 0.500
```

Results
- N(E_F) (states/eV/f.u.) = 2.6
- raw total energy (eV per atom) = -1.728
- total magnetization (μB/cell) = 0.00
- relative energy among the computed polymorphs (meV per atom) = 780



No. 6
A relaxed structure of ZnAs2I. Source: the Alexandria database, functional GGA-PBE.

Structure (CIF):
```
data_ZnAs2I
_chemical_formula_sum 'Zn4 As8 I4'
_symmetry_space_group_name_H-M 'I -4 2 d'
_symmetry_Int_Tables_number 122
_symmetry_space_group_name_Hall 'I -4 2bw'
_cell_length_a 5.729
_cell_length_b 5.729
_cell_length_c 14.368
_cell_angle_alpha 90.00
_cell_angle_beta 90.00
_cell_angle_gamma 90.00
loop_
_atom_site_label
_atom_site_type_symbol
_atom_site_fract_x
_atom_site_fract_y
_atom_site_fract_z
Zn1 Zn 0.000 0.000 0.000
As1 As 0.161 0.250 0.125
I1 I 0.000 0.000 0.500
```

Results
- N(E_F) (states/eV/f.u.) = 1.8
- raw total energy (eV per atom) = -2.597
- total magnetization (μB/cell) = 0.00
- relative energy among the computed polymorphs (meV per atom) = 0



- Among the records above, which one has the highest raw total energy?
  number 5